A plane-wave DFT calculation with PBE was carried out for an optimized crystal structure of Cs2CaErI6.

Lattice parameters (Å, degrees): 8.6756 12.2792 8.6767 90.00 90.00 90.00
Closest atoms and distances in Å follow each position.
Space group Pmmn (No. 59, origin choice 2)
Inequivalent atoms, fractional coordinates:
Cs  0.2500  0.0009  0.2494 (multiplicity 4)  12 I 4.33-4.36
Ca  0.2500  0.2500  0.7489 (multiplicity 2)  6 I 3.11
Er  0.2500  0.7500  0.7511 (multiplicity 2)  6 I 3.03
I  0.0032  0.7500  0.5046 (multiplicity 4)  1 Er 3.03, 1 Ca 3.11
I  0.0036  0.7500  0.9978 (multiplicity 4)  1 Er 3.03, 1 Ca 3.11
I  0.2500  0.5034  0.7504 (multiplicity 4)  1 Er 3.03, 1 Ca 3.11

Formation energy (no corrections)   -1387 meV per atom

=====

A plane-wave DFT calculation with PBE was carried out for an optimized crystal structure of CsCaErO3.

Lattice parameters (Å, degrees): 7.3059 3.6026 10.0438 90.00 94.02 90.00
Closest atoms and distances in Å follow each position.
Space group P2_1/m (No. 11)
Inequivalent atoms, fractional coordinates:
Cs  0.0963  0.2500  0.1894 (multiplicity 2)  5 O 3.05-3.13
Ca  0.3755  0.2500  0.5873 (multiplicity 2)  4 O 2.20-2.36
Er  0.4268  0.7500  0.8632 (multiplicity 2)  5 O 2.18-2.33
O  0.2491  0.2500  0.7830 (multiplicity 2)  1 Ca 2.23, 2 Er 2.33
O  0.3842  0.7500  0.0760 (multiplicity 2)  3 Er 2.18-2.33
O  0.4605  0.2500  0.3644 (multiplicity 2)  3 Ca 2.20-2.36

Formation energy (no corrections)   -2603 meV per atom

=====

A plane-wave DFT calculation with PBE was carried out for an optimized crystal structure of Cs3CaEr2S6.

Lattice parameters (Å, degrees): 7.1512 12.3892 8.3693 90.00 106.55 90.00
Closest atoms and distances in Å follow each position.
Space group C2/m (No. 12)
Inequivalent atoms, fractional coordinates:
Cs  0.0000  0.0000  0.0000 (multiplicity 2)  6 S 3.44-3.53
Cs  0.0000  0.3366  0.0000 (multiplicity 4)  6 S 3.45-3.53
Ca  0.0000  0.5000  0.5000 (multiplicity 2)  6 S 2.87-2.88
Er  0.0000  0.1669  0.5000 (multiplicity 4)  6 S 2.75-2.76
S  0.2134  0.0000  0.6804 (multiplicity 4)  2 Er 2.75, 1 Ca 2.87
S  0.2343  0.3265  0.6821 (multiplicity 8)  2 Er 2.75-2.76, 1 Ca 2.88

Formation energy (no corrections)   -1643 meV per atom

=====

A plane-wave DFT calculation with PBE was carried out for an optimized crystal structure of Cs3CaEr2Te6.

Lattice parameters (Å, degrees): 7.8805 13.6500 9.3560 90.00 106.30 90.00
Closest atoms and distances in Å follow each position.
Space group C2/m (No. 12)
Inequivalent atoms, fractional coordinates:
Cs  0.0000  0.0000  0.0000 (multiplicity 2)  6 Te 3.77-3.86
Cs  0.0000  0.3373  0.0000 (multiplicity 4)  6 Te 3.79-3.86
Ca  0.0000  0.5000  0.5000 (multiplicity 2)  6 Te 3.20-3.22
Er  0.0000  0.1670  0.5000 (multiplicity 4)  6 Te 3.09-3.10
Te  0.2179  0.0000  0.6888 (multiplicity 4)  2 Er 3.09, 1 Ca 3.20
Te  0.2363  0.3273  0.6907 (multiplicity 8)  2 Er 3.09-3.10, 1 Ca 3.22

Formation energy (no corrections)   -1284 meV per atom

=====

A plane-wave DFT calculation with PBE was carried out for an optimized crystal structure of CsCa2Eu.

Lattice parameters (Å, degrees): 4.1168 4.1168 12.4710 90.00 90.00 90.00
Closest atoms and distances in Å follow each position.
Space group P4/mmm (No. 123)
Inequivalent atoms, fractional coordinates:
Cs  0.0000  0.0000  0.0000 (multiplicity 1)  4 Cs 4.12
Ca  0.5000  0.5000  0.2919 (multiplicity 2)  4 Eu 3.90, 4 Ca 4.12
Eu  0.0000  0.0000  0.5000 (multiplicity 1)  8 Ca 3.90, 4 Eu 4.12

DFT formation energy   0.155 eV/atom

=====

A plane-wave DFT calculation with PBE was carried out for an optimized crystal structure of CsCaEu2.

Lattice parameters (Å, degrees): 4.2016 4.2016 12.4261 90.00 90.00 90.00
Closest atoms and distances in Å follow each position.
Space group P4/mmm (No. 123)
Inequivalent atoms, fractional coordinates:
Cs  0.0000  0.0000  0.0000 (multiplicity 1)  4 Cs 4.20
Ca  0.0000  0.0000  0.5000 (multiplicity 1)  8 Eu 3.88, 4 Ca 4.20
Eu  0.5000  0.5000  0.2987 (multiplicity 2)  4 Ca 3.88, 4 Eu 4.20

DFT formation energy   0.171 eV/atom

=====

A plane-wave DFT calculation with PBE was carried out for an optimized crystal structure of CsCaF3.

Lattice parameters (Å, degrees): 6.6229 17.8268 5.5721 90.00 90.00 90.00
Closest atoms and distances in Å follow each position.
Space group Cmcm (No. 63)
Inequivalent atoms, fractional coordinates:
Cs  0.0000  0.1883  0.2500 (multiplicity 4)  6 F 2.99-3.28
Ca  0.0000  0.4090  0.2500 (multiplicity 4)  4 F 2.14
F  0.0000  0.5000  0.0000 (multiplicity 4)  2 Ca 2.14
F  0.2424  0.3295  0.2500 (multiplicity 8)  1 Ca 2.14

Formation energy (no corrections)   -3239 meV per atom

=====

A plane-wave DFT calculation with PBE was carried out for an optimized crystal structure of CsCa2F.

Lattice parameters (Å, degrees): 8.9898 8.9898 8.9898 90.00 90.00 90.00
Closest atoms and distances in Å follow each position.
Space group Fm-3m (No. 225)
Inequivalent atoms, fractional coordinates:
Cs  0.0000  0.0000  0.0000 (multiplicity 4)  8 Ca 3.89
Ca  0.2500  0.2500  0.2500 (multiplicity 8)  4 F 3.89, 4 Cs 3.89
F  0.0000  0.0000  0.5000 (multiplicity 4)  8 Ca 3.89

Formation energy (no corrections)   -200 meV per atom

=====

no.,calculated total energy (eV/atom)
1,-3.1439
2,-6.3180
3,-4.8472
4,-3.9957
5,-3.6279
6,-5.6805
7,-4.9327
8,-1.8820